VASP calculation (PBE-GGA) on a geometry-optimized BaZnAu3 structure.

```
BaZnAu3
1.0
7.181 0.000 0.000
0.000 7.959 0.000
-7.132 0.000 8.945
Ba Zn Au
4 4 12
Direct
0.239 0.000 0.237
0.239 0.500 0.737
0.761 0.000 0.763
0.761 0.500 0.263
0.499 0.160 0.000
0.499 0.340 0.500
0.501 0.660 0.500
0.501 0.840 0.000
0.193 0.183 0.499
0.193 0.317 0.999
0.195 0.683 0.999
0.195 0.817 0.499
0.241 0.000 0.742
0.241 0.500 0.242
0.759 0.000 0.258
0.759 0.500 0.758
0.805 0.183 0.501
0.805 0.317 0.001
0.807 0.683 0.001
0.807 0.817 0.501
```

Calculated values
- Energy: -61.59 eV for the cell shown
- Energy of formation: -0.474 eV per atom